[1]
# Th4FeHg (PBE-GGA, relaxed)
data_Th4FeHg
_chemical_formula_sum 'Th16 Fe4 Hg4'
_symmetry_space_group_name_H-M 'C 1 2/c 1'
_symmetry_Int_Tables_number 15
_symmetry_space_group_name_Hall '-C 2yc'
_cell_length_a 8.937
_cell_length_b 12.469
_cell_length_c 6.106
_cell_angle_alpha 90.00
_cell_angle_beta 106.52
_cell_angle_gamma 90.00
loop_
_atom_site_label
_atom_site_type_symbol
_atom_site_fract_x
_atom_site_fract_y
_atom_site_fract_z
Th1 Th 0.113 0.169 0.054
Th2 Th 0.217 0.401 0.383
Fe1 Fe 0.000 0.005 0.750
Hg1 Hg 0.000 0.387 0.750
# - Calculated formation energy: -0.080 eV/atom
# - Density: 12.06 g cm⁻³
# - Final energy: -0.47682 Ry per atom
# - Energy relative to the lowest polymorph listed for this composition: 14.1 meV/atom
# - V: 163.1 Å³/f.u.
# - DOS(E_F): 30.8 states/eV/cell

[2]
# Th5Fe2Hg (PBE-GGA, relaxed)
data_Th5Fe2Hg
_chemical_formula_sum 'Th20 Fe8 Hg4'
_symmetry_space_group_name_H-M 'I 4/m c m'
_symmetry_Int_Tables_number 140
_symmetry_space_group_name_Hall '-I 4 2c'
_cell_length_a 7.722
_cell_length_b 7.722
_cell_length_c 13.692
_cell_angle_alpha 90.00
_cell_angle_beta 90.00
_cell_angle_gamma 90.00
loop_
_atom_site_label
_atom_site_type_symbol
_atom_site_fract_x
_atom_site_fract_y
_atom_site_fract_z
Th1 Th 0.000 0.000 0.000
Th2 Th 0.158 0.342 0.133
Fe1 Fe 0.137 0.363 0.500
Hg1 Hg 0.000 0.000 0.250
# - Calculated formation energy: -0.128 eV/atom
# - Density: 11.98 g cm⁻³
# - Final energy: -0.50852 Ry per atom
# - V: 204.1 Å³/f.u.
# - DOS(E_F): 30.7 states/eV/cell

[3]
# Th3Fe2Hg2 (PBE-GGA, relaxed)
data_Th3Fe2Hg2
_chemical_formula_sum 'Th6 Fe4 Hg4'
_symmetry_space_group_name_H-M 'C 1 2/m 1'
_symmetry_Int_Tables_number 12
_symmetry_space_group_name_Hall '-C 2y'
_cell_length_a 10.585
_cell_length_b 3.655
_cell_length_c 9.717
_cell_angle_alpha 90.00
_cell_angle_beta 112.35
_cell_angle_gamma 90.00
loop_
_atom_site_label
_atom_site_type_symbol
_atom_site_fract_x
_atom_site_fract_y
_atom_site_fract_z
Th1 Th 0.000 0.000 0.000
Th2 Th 0.166 0.500 0.732
Fe1 Fe 0.209 0.500 0.050
Hg1 Hg 0.110 0.000 0.412
# - Calculated formation energy: -0.049 eV/atom
# - Density: 11.55 g cm⁻³
# - Final energy: -0.42140 Ry per atom
# - V: 173.8 Å³/f.u.
# - DOS(E_F): 15.2 states/eV/cell